No. 1
YTmNi2: optimized geometry, PBE.

Computed properties:
- Excess energy over the best structure of this formula in the dataset: 0.0 kJ/mol of atoms
- Total DFT energy (no corrections): -0.2202 hartree per atom
- Space group: No. 31

The structure in extended XYZ format:
```
8
Lattice="4.126 0.000 0.000 0.000 6.996 0.000 0.000 0.000 5.386" Properties=species:S:1:pos:R:3 pbc="T T T"
Tm 2.063 3.015 0.719
Tm 0.000 3.981 3.412
Ni 2.063 2.060 3.368
Ni 0.000 1.546 2.010
Ni 2.063 5.450 4.703
Ni 0.000 4.937 0.675
Y 0.000 0.496 4.676
Y 2.063 6.500 1.983
```

No. 2
YTmNi4: optimized geometry, PBE.

Computed properties:
- Excess energy over the best structure of this formula in the dataset: 37.2 kJ/mol of atoms
- Total DFT energy (no corrections): -0.2059 hartree per atom
- Space group: No. 191

The structure in extended XYZ format:
```
12
Lattice="-0.931 5.164 1.082 -1.669 -2.109 -4.633 -6.916 -1.955 3.382" Properties=species:S:1:pos:R:3 pbc="T T T"
Ni -5.521 1.152 3.013
Ni -4.881 -0.663 -1.037
Ni -4.635 1.762 0.868
Ni -6.356 0.098 0.697
Ni -2.326 2.056 1.451
Ni -3.161 1.001 -0.865
Ni -2.696 -1.581 -1.406
Ni -5.890 -2.484 0.156
Y 0.000 0.000 0.000
Y -3.458 -0.978 1.691
Tm -1.423 0.315 -2.728
Tm -1.177 2.739 -0.823
```

No. 3
YTmNi2: optimized geometry, PBE.

Computed properties:
- Excess energy over the best structure of this formula in the dataset: 0.4 kJ/mol of atoms
- Total DFT energy (no corrections): -0.2201 hartree per atom
- Space group: No. 38

The structure in extended XYZ format:
```
4
Lattice="4.030 0.000 0.000 0.000 1.905 5.118 0.000 -1.905 5.118" Properties=species:S:1:pos:R:3 pbc="T T T"
Ni 0.000 0.000 5.830
Ni 2.015 0.000 4.363
Y 2.015 0.000 1.468
Tm 0.000 0.000 8.814
```